The following is a PBE calculation of VRuPtW2 after structural relaxation, from the Alexandria database. Values from VASP.

## Properties
Its space group is No. 123. For the total energy, the calculation gives -8.1636 eV/atom. For the energy relative to the elements, the calculation gives 1.905 eV per atom. The distance to the lowest polymorph of the same formula comes out at 398.2 meV/atom.

```
&SYSTEM
  ibrav = 0, nat = 5, ntyp = 4
/
ATOMIC_SPECIES
Ru 101.07 Ru.upf
W 183.84 W.upf
V 50.94 V.upf
Pt 195.08 Pt.upf
CELL_PARAMETERS angstrom
-1.759 3.448 -2.490
1.014 -2.418 -4.065
-4.142 -2.000 0.157
ATOMIC_POSITIONS angstrom
Ru 0.000 0.000 0.000
W -0.880 1.724 -1.245
W -2.071 -1.000 0.079
V -2.444 -0.486 -3.199
Pt 0.507 -1.209 -2.032
```

=====

The following is a PBE calculation of MnGaPdPt after structural relaxation, from the Alexandria database. Values from VASP.

## Properties
Its space group is No. 216. For the total energy, the calculation gives -6.3554 eV/atom. For the energy relative to the elements, the calculation gives -0.498 eV per atom.

```
&SYSTEM
  ibrav = 0, nat = 4, ntyp = 4
/
ATOMIC_SPECIES
Pt 195.08 Pt.upf
Pd 106.42 Pd.upf
Ga 69.72 Ga.upf
Mn 54.94 Mn.upf
CELL_PARAMETERS angstrom
4.386 0.000 0.000
2.193 3.798 0.000
2.193 1.266 3.581
ATOMIC_POSITIONS angstrom
Pt 6.579 3.798 2.686
Pd 2.193 1.266 0.895
Ga 4.386 2.532 1.790
Mn 0.000 0.000 0.000
```

=====

The following is a PBE calculation of YRe5 after structural relaxation, from the Alexandria database. Values from VASP.

## Properties
Its space group is No. 191. For the total energy, the calculation gives -11.3226 eV/atom. For the energy relative to the elements, the calculation gives 0.128 eV per atom. The distance to the lowest polymorph of the same formula comes out at 0.0 meV/atom.

```
&SYSTEM
  ibrav = 0, nat = 6, ntyp = 2
/
ATOMIC_SPECIES
Re 186.21 Re.upf
Y 88.91 Y.upf
CELL_PARAMETERS angstrom
1.903 3.717 -3.192
-2.562 -4.127 -2.007
-3.868 2.249 0.313
ATOMIC_POSITIONS angstrom
Re -1.074 -1.512 -2.402
Re -2.264 0.920 -2.443
Re 0.415 1.102 -2.797
Re -0.983 2.983 -1.439
Re -3.215 -0.939 -0.847
Y 0.000 0.000 0.000
```

=====

The following is a PBE calculation of ErMg3Hg after structural relaxation, from the Alexandria database. Values from VASP.

## Properties
Its space group is No. 38. For the total energy, the calculation gives -2.0321 eV/atom. For the energy relative to the elements, the calculation gives -0.102 eV per atom.

```
&SYSTEM
  ibrav = 0, nat = 5, ntyp = 3
/
ATOMIC_SPECIES
Mg 24.30 Mg.upf
Er 167.26 Er.upf
Hg 200.59 Hg.upf
CELL_PARAMETERS angstrom
4.842 0.000 0.000
0.000 4.841 0.000
0.000 -2.421 5.445
ATOMIC_POSITIONS angstrom
Mg 0.000 2.421 0.483
Mg 0.000 0.000 2.696
Mg 2.421 2.421 2.638
Er 2.421 0.000 0.490
Hg 2.421 0.000 4.150
```

=====

The following is a PBE calculation of LiMgZn2 after structural relaxation, from the Alexandria database. Values from VASP.

## Properties
Its space group is No. 44. For the total energy, the calculation gives -1.6305 eV/atom. For the energy relative to the elements, the calculation gives -0.116 eV per atom.

```
&SYSTEM
  ibrav = 0, nat = 4, ntyp = 3
/
ATOMIC_SPECIES
Mg 24.30 Mg.upf
Li 6.94 Li.upf
Zn 65.41 Zn.upf
CELL_PARAMETERS angstrom
5.375 0.069 0.059
2.418 4.800 -0.059
-3.401 -3.228 2.628
ATOMIC_POSITIONS angstrom
Mg 1.385 1.959 1.285
Li 4.029 2.517 0.000
Zn 3.004 -0.319 1.344
Zn 7.663 4.789 0.000
```

=====

The following is a PBE calculation of Mg3P after structural relaxation, from the Alexandria database. Values from VASP.

## Properties
Its space group is No. 187. For the total energy, the calculation gives -2.6651 eV/atom. For the energy relative to the elements, the calculation gives -0.117 eV per atom.

```
&SYSTEM
  ibrav = 0, nat = 4, ntyp = 2
/
ATOMIC_SPECIES
Mg 24.30 Mg.upf
P 30.97 P.upf
CELL_PARAMETERS angstrom
3.959 0.000 0.000
-1.980 3.429 0.000
0.000 0.000 6.689
ATOMIC_POSITIONS angstrom
Mg 0.000 0.000 3.661
Mg 1.980 1.143 1.672
Mg 0.000 0.000 6.372
P 1.980 1.143 5.017
```

=====

Q: What is the energy relative to the elements in the second record?
A: -0.498 eV per atom

=====

Repeat the second record exactly.
The following is a PBE calculation of MnGaPdPt after structural relaxation, from the Alexandria database. Values from VASP.

## Properties
Its space group is No. 216. For the total energy, the calculation gives -6.3554 eV/atom. For the energy relative to the elements, the calculation gives -0.498 eV per atom.

```
&SYSTEM
  ibrav = 0, nat = 4, ntyp = 4
/
ATOMIC_SPECIES
Pt 195.08 Pt.upf
Pd 106.42 Pd.upf
Ga 69.72 Ga.upf
Mn 54.94 Mn.upf
CELL_PARAMETERS angstrom
4.386 0.000 0.000
2.193 3.798 0.000
2.193 1.266 3.581
ATOMIC_POSITIONS angstrom
Pt 6.579 3.798 2.686
Pd 2.193 1.266 0.895
Ga 4.386 2.532 1.790
Mn 0.000 0.000 0.000
```

=====

Copy entry 4 word for word.
The following is a PBE calculation of ErMg3Hg after structural relaxation, from the Alexandria database. Values from VASP.

## Properties
Its space group is No. 38. For the total energy, the calculation gives -2.0321 eV/atom. For the energy relative to the elements, the calculation gives -0.102 eV per atom.

```
&SYSTEM
  ibrav = 0, nat = 5, ntyp = 3
/
ATOMIC_SPECIES
Mg 24.30 Mg.upf
Er 167.26 Er.upf
Hg 200.59 Hg.upf
CELL_PARAMETERS angstrom
4.842 0.000 0.000
0.000 4.841 0.000
0.000 -2.421 5.445
ATOMIC_POSITIONS angstrom
Mg 0.000 2.421 0.483
Mg 0.000 0.000 2.696
Mg 2.421 2.421 2.638
Er 2.421 0.000 0.490
Hg 2.421 0.000 4.150
```

=====

Q: energy relative to the elements of number 1 (VRuPtW2)?
A: 1.905 eV per atom